No. 1
# Sc5Hg (SCAN, PBEsol geometry)
data_Sc5Hg
_symmetry_space_group_name_H-M 'A m m 2'
_symmetry_Int_Tables_number 38
_cell_length_a 4.934
_cell_length_b 3.326
_cell_length_c 16.317
_cell_angle_alpha 90.00
_cell_angle_beta 90.00
_cell_angle_gamma 90.00
loop_
_symmetry_equiv_pos_as_xyz
'x,y,z'
'-x,-y,z'
'-x,y,z'
'x,-y,z'
'x,y+1/2,z+1/2'
'-x,-y+1/2,z+1/2'
'-x,y+1/2,z+1/2'
'x,-y+1/2,z+1/2'
loop_
_atom_site_label
_atom_site_fract_x
_atom_site_fract_y
_atom_site_fract_z
Sc1 0.000 0.000 0.000
Sc2 0.000 0.000 0.323
Sc3 0.000 0.000 0.665
Sc4 0.500 0.000 0.117
Sc5 0.500 0.000 0.449
Hg1 0.500 0.000 0.779
# total DFT energy (no corrections)	-280.80	eV/cell
# total magnetization	0.0	μB per formula unit

No. 2
# Mg2ReTcAs (SCAN, PBEsol geometry)
data_Mg2ReTcAs
_symmetry_space_group_name_H-M 'P 4/m m m'
_symmetry_Int_Tables_number 123
_symmetry_space_group_name_Hall '-P 4 2'
_cell_length_a 4.684
_cell_length_b 4.684
_cell_length_c 4.512
_cell_angle_alpha 90.00
_cell_angle_beta 90.00
_cell_angle_gamma 90.00
loop_
_atom_site_label
_atom_site_fract_x
_atom_site_fract_y
_atom_site_fract_z
Mg1 0.000 0.500 0.000
Re1 0.000 0.000 0.500
Tc1 0.500 0.500 0.500
As1 0.500 0.500 0.000
# total DFT energy (no corrections)	-130.12	eV/cell
# total magnetization	4.0	μB per formula unit

No. 3
# CaCl2 (SCAN, PBEsol geometry)
data_CaCl2
_symmetry_space_group_name_H-M 'P a -3'
_symmetry_Int_Tables_number 205
_symmetry_space_group_name_Hall '-P 2ac 2ab 3'
_cell_length_a 6.710
_cell_length_b 6.710
_cell_length_c 6.710
_cell_angle_alpha 90.00
_cell_angle_beta 90.00
_cell_angle_gamma 90.00
loop_
_atom_site_label
_atom_site_fract_x
_atom_site_fract_y
_atom_site_fract_z
Ca1 0.000 0.000 0.000
Cl1 0.158 0.658 0.842
# formation energy without anion corrections	-2638	meV/atom
# total magnetization	0.0	μB per formula unit